Li2CrPb2O6 | PBE+U | relaxed

a b c (Å): 5.7747 5.7747 14.5558
angles (deg): 90.00 90.00 120.00
Space group R-3m (No. 166, hexagonal axes)
Inequivalent atoms, fractional coordinates:
Li  0.0000  0.0000  0.0891
Cr  0.0000  0.0000  0.5000
Pb  0.0000  0.0000  0.2907
O  0.0377  0.5188  0.2443

## Properties
magnetization	0.0	μB per cell
mass density	6.829	g/cm3
total energy	-5.611	eV/atom